## PmPr3Tl2 (GGA-PBE)

Data for a relaxed PmPr3Tl2 crystal.

Computed properties:
- space-group type = C2/m
- DFT formation energy (eV per atom) = -0.1912
- distance to the lowest polymorph of the same formula (kJ per mole of atoms) = 7.9

Cell lengths 5.1345, 8.8201, 10.4012 Å; angles 117.87, 90.00, 106.92 degrees
Element x y z (fractional)
Pm1 0.8807 0.7613 0.9345
Pr1 0.7129 0.4258 0.3821
Pr2 0.2871 0.5742 0.6179
Tl1 0.7610 0.5220 0.1051
Pr3 0.0418 0.0835 0.3621
Pr4 0.6316 0.2632 0.6744
Tl2 0.5079 0.0158 0.8577
Tl3 0.4921 0.9842 0.1423
Tl4 0.2390 0.4780 0.8949
Pm2 0.1193 0.2387 0.0655
Pr5 0.9582 0.9165 0.6379
Pr6 0.3684 0.7368 0.3256